[1]
Entry from the Alexandria database: a crystal of Sm3SiAgS7 relaxed with PBEsol (meta-GGA SCAN).

For the size of the total moment, the calculation gives 0.00 Bohr magnetons per cell. The calculation puts the density of states at the Fermi level at 0.000 states/eV per atom. Its crystal system is hexagonal. The value obtained for the formation energy without anion corrections is -1.73 eV per atom.

It has space group P6_3 (No. 173), with a = 10.0481 Å, b = 10.0481 Å, c = 5.6524 Å, α = 90.00°, β = 90.00° and γ = 120.00°. The inequivalent atoms are Sm at (0.1251, 0.3596, 0.0000), Si at (0.3333, 0.6667, 0.4133), Ag at (0.0000, 0.0000, 0.0497), S at (0.0943, 0.2713, 0.5147), S at (0.1100, 0.5878, 0.2641) and S at (0.3333, 0.6667, 0.7859).

---

[2]
Entry from the Alexandria database: a crystal of LiReSe2 relaxed with PBEsol (meta-GGA SCAN).

For the size of the total moment, the calculation gives 0.00 Bohr magnetons per cell. The calculation puts the density of states at the Fermi level at 0.466 states/eV per atom. Its crystal system is trigonal. The calculation puts the energy above the most stable polymorph in this dataset at 56 meV/atom. The value obtained for the formation energy without anion corrections is -0.05 eV per atom.

It has space group R-3m (No. 166, hexagonal axes), with a = 3.2169 Å, b = 3.2169 Å, c = 25.0694 Å, α = 90.00°, β = 90.00° and γ = 120.00°. The inequivalent atoms are Li at (0.0000, 0.0000, 0.0000), Re at (0.0000, 0.0000, 0.5000) and Se at (0.0000, 0.0000, 0.0978).

---

[3]
Entry from the Alexandria database: a crystal of Li2Co3O6 relaxed with PBEsol (meta-GGA SCAN).

For the size of the total moment, the calculation gives 2.08 Bohr magnetons per cell. The calculation puts the density of states at the Fermi level at 0.359 states/eV per atom. Its crystal system is triclinic. The value obtained for the formation energy without anion corrections is -1.68 eV per atom.

It has space group P-1 (No. 2), with a = 4.8220 Å, b = 4.8221 Å, c = 9.6155 Å, α = 80.39°, β = 85.19° and γ = 60.07°. The inequivalent atoms are Li at (0.0003, 0.0857, 0.2421), Li at (0.3332, 0.4170, 0.2461), Co at (0.0000, 0.0000, 0.5000), Co at (0.0000, 0.5000, 0.0000), Co at (0.3334, 0.3308, 0.5076), Co at (0.3359, 0.8356, 0.0000), O at (0.0051, 0.7996, 0.1022), O at (0.0119, 0.3604, 0.3970), O at (0.3261, 0.6962, 0.3970), O at (0.3270, 0.1379, 0.1049), O at (0.3336, 0.5393, 0.8978) and O at (0.3378, 0.9537, 0.6030).